# 1
DFT (PBEsol) results for a relaxed RbAlFe2B crystal.

Cell: 4.573 4.573 5.912 Å, 90.00 90.00 90.00°
Fractional positions:
Rb  0.000  0.000  0.000
Al  0.000  0.000  0.500
Fe  0.000  0.500  0.500
Fe  0.500  0.000  0.500
B  0.500  0.500  0.000

Output
raw total energy = -19.31 eV per cell
crystal system = tetragonal
DOS(E_F) = 1.4864 states/eV/atom
total magnetic moment = 0.895 μB/atom
DFT formation energy = 2.15 eV per atom
ρ = 3.16 g/cm³

# 2
DFT (PBEsol) results for a relaxed AlGa3B crystal.

Cell: 4.350 4.350 4.350 Å, 90.00 90.00 90.00°
Fractional positions:
Al  0.000  0.000  0.000
Ga  0.000  0.500  0.500
Ga  0.500  0.000  0.500
Ga  0.500  0.500  0.000
B  0.500  0.500  0.500

Output
raw total energy = -18.87 eV per cell
crystal system = cubic
DOS(E_F) = 0.3503 states/eV/atom
total magnetic moment = 0.000 μB/atom
DFT formation energy = 0.45 eV per atom
ρ = 4.98 g/cm³

# 3
DFT (PBEsol) results for a relaxed AlGe3B crystal.

Cell: 4.356 4.356 4.356 Å, 90.00 90.00 90.00°
Fractional positions:
Al  0.000  0.000  0.000
Ge  0.000  0.500  0.500
Ge  0.500  0.000  0.500
Ge  0.500  0.500  0.000
B  0.500  0.500  0.500

Output
raw total energy = -22.81 eV per cell
crystal system = cubic
DOS(E_F) = 0.3341 states/eV/atom
total magnetic moment = 0.000 μB/atom
DFT formation energy = 0.62 eV per atom
ρ = 5.14 g/cm³

# 4
DFT (PBEsol) results for a relaxed AlGeB2 crystal.

Cell: 5.632 5.632 5.632 Å, 125.31 125.31 81.03°
Fractional positions:
Al  0.000  0.000  0.000
Al  0.750  0.250  0.500
Ge  0.250  0.750  0.500
Ge  0.500  0.500  0.000
B  0.145  0.625  0.020
B  0.375  0.395  0.520
B  0.605  0.125  0.980
B  0.875  0.855  0.480

Output
raw total energy = -40.16 eV per cell
crystal system = tetragonal
DOS(E_F) = 0.5453 states/eV/atom
total magnetic moment = 0.000 μB/atom
DFT formation energy = 0.75 eV per atom
ρ = 3.51 g/cm³

# 5
DFT (PBEsol) results for a relaxed Na4Al3Ge3BH4O12 crystal.

Cell: 9.038 9.038 9.038 Å, 90.00 90.00 90.00°
Fractional positions:
Na  0.171  0.171  0.171
Na  0.171  0.829  0.829
Na  0.329  0.329  0.671
Na  0.329  0.671  0.329
Na  0.671  0.329  0.329
Na  0.671  0.671  0.671
Na  0.829  0.171  0.829
Na  0.829  0.829  0.171
Al  0.000  0.250  0.500
Al  0.000  0.750  0.500
Al  0.250  0.500  0.000
Al  0.500  0.000  0.250
Al  0.500  0.000  0.750
Al  0.750  0.500  0.000
Ge  0.000  0.500  0.250
Ge  0.000  0.500  0.750
Ge  0.250  0.000  0.500
Ge  0.500  0.250  0.000
Ge  0.500  0.750  0.000
Ge  0.750  0.000  0.500
B  0.000  0.000  0.000
B  0.500  0.500  0.500
H  0.079  0.079  0.921
H  0.079  0.921  0.079
H  0.421  0.421  0.421
H  0.421  0.579  0.579
H  0.579  0.421  0.579
H  0.579  0.579  0.421
H  0.921  0.079  0.079
H  0.921  0.921  0.921
O  0.076  0.357  0.643
O  0.076  0.643  0.357
O  0.143  0.143  0.424
O  0.143  0.424  0.143
O  0.143  0.576  0.857
O  0.143  0.857  0.576
O  0.357  0.076  0.643
O  0.357  0.357  0.924
O  0.357  0.643  0.076
O  0.357  0.924  0.357
O  0.424  0.143  0.143
O  0.424  0.857  0.857
O  0.576  0.143  0.857
O  0.576  0.857  0.143
O  0.643  0.076  0.357
O  0.643  0.357  0.076
O  0.643  0.643  0.924
O  0.643  0.924  0.643
O  0.857  0.143  0.576
O  0.857  0.424  0.857
O  0.857  0.576  0.143
O  0.857  0.857  0.424
O  0.924  0.357  0.357
O  0.924  0.643  0.643

Output
raw total energy = -330.83 eV per cell
crystal system = cubic
DOS(E_F) = 0.0000 states/eV/atom
total magnetic moment = 0.000 μB/atom
ρ = 2.69 g/cm³

# 6
DFT (PBEsol) results for a relaxed NaMg2Al6VSi6B3H3O31 crystal.

Cell: 9.542 9.542 7.145 Å, 104.55 104.55 113.92°
Fractional positions:
Na  0.000  0.000  0.000
Mg  0.003  0.820  0.344
Mg  0.820  0.003  0.344
Al  0.228  0.671  0.348
Al  0.337  0.563  0.682
Al  0.446  0.780  0.124
Al  0.563  0.337  0.682
Al  0.671  0.228  0.348
Al  0.780  0.446  0.124
V  0.182  0.182  0.531
Si  0.192  0.810  0.772
Si  0.197  0.386  0.968
Si  0.386  0.197  0.968
Si  0.621  0.815  0.583
Si  0.810  0.192  0.772
Si  0.815  0.621  0.583
B  0.005  0.336  0.336
B  0.336  0.005  0.336
B  0.673  0.673  0.005
H  0.003  0.607  0.014
H  0.391  0.391  0.406
H  0.607  0.003  0.014
O  0.003  0.601  0.149
O  0.004  0.284  0.942
O  0.004  0.724  0.775
O  0.006  0.190  0.314
O  0.017  0.017  0.560
O  0.153  0.487  0.426
O  0.184  0.799  0.541
O  0.190  0.006  0.314
O  0.209  0.388  0.746
O  0.284  0.004  0.942
O  0.286  0.286  0.058
O  0.289  0.576  0.140
O  0.289  0.717  0.854
O  0.335  0.855  0.274
O  0.388  0.209  0.746
O  0.401  0.401  0.550
O  0.432  0.717  0.568
O  0.487  0.153  0.426
O  0.520  0.670  0.942
O  0.576  0.289  0.140
O  0.601  0.003  0.149
O  0.618  0.824  0.361
O  0.670  0.520  0.942
O  0.717  0.289  0.854
O  0.717  0.432  0.568
O  0.723  0.723  0.660
O  0.724  0.004  0.775
O  0.799  0.184  0.541
O  0.819  0.819  0.126
O  0.824  0.618  0.361
O  0.855  0.335  0.274

Output
raw total energy = -408.67 eV per cell
crystal system = monoclinic
DOS(E_F) = 0.1240 states/eV/atom
total magnetic moment = 0.038 μB/atom
ρ = 3.10 g/cm³

# 7
DFT (PBEsol) results for a relaxed AlB5H16N2O14 crystal.

Cell: 6.908 6.908 14.046 Å, 90.00 90.00 94.98°
Fractional positions:
Al  0.110  0.110  0.000
Al  0.890  0.890  0.500
B  0.188  0.746  0.907
B  0.208  0.407  0.863
B  0.254  0.812  0.593
B  0.333  0.667  0.750
B  0.407  0.208  0.137
B  0.593  0.792  0.637
B  0.667  0.333  0.250
B  0.746  0.188  0.093
B  0.792  0.593  0.363
B  0.812  0.254  0.407
H  0.021  0.750  0.184
H  0.022  0.491  0.651
H  0.029  0.092  0.209
H  0.038  0.689  0.069
H  0.092  0.029  0.791
H  0.140  0.488  0.360
H  0.209  0.633  0.147
H  0.250  0.979  0.316
H  0.311  0.962  0.431
H  0.323  0.439  0.295
H  0.330  0.406  0.450
H  0.367  0.791  0.353
H  0.406  0.330  0.550
H  0.439  0.323  0.705
H  0.488  0.140  0.640
H  0.491  0.022  0.349
H  0.509  0.978  0.849
H  0.512  0.860  0.140
H  0.561  0.677  0.205
H  0.594  0.670  0.050
H  0.633  0.209  0.853
H  0.670  0.594  0.950
H  0.677  0.561  0.795
H  0.689  0.038  0.931
H  0.750  0.021  0.816
H  0.791  0.367  0.647
H  0.860  0.512  0.860
H  0.908  0.971  0.291
H  0.962  0.311  0.569
H  0.971  0.908  0.709
H  0.978  0.509  0.151
H  0.979  0.250  0.684
N  0.060  0.641  0.138
N  0.359  0.940  0.362
N  0.641  0.060  0.862
N  0.940  0.359  0.638
O  0.025  0.975  0.250
O  0.123  0.548  0.917
O  0.134  0.861  0.524
O  0.139  0.866  0.976
O  0.194  0.222  0.893
O  0.198  0.701  0.671
O  0.222  0.194  0.107
O  0.275  0.531  0.343
O  0.299  0.802  0.829
O  0.301  0.462  0.779
O  0.306  0.306  0.500
O  0.452  0.877  0.583
O  0.462  0.301  0.221
O  0.469  0.725  0.157
O  0.531  0.275  0.657
O  0.538  0.699  0.721
O  0.548  0.123  0.083
O  0.694  0.694  0.000
O  0.699  0.538  0.279
O  0.701  0.198  0.329
O  0.725  0.469  0.843
O  0.778  0.806  0.607
O  0.802  0.299  0.171
O  0.806  0.778  0.393
O  0.861  0.134  0.476
O  0.866  0.139  0.024
O  0.877  0.452  0.417
O  0.975  0.025  0.750

Output
raw total energy = -480.73 eV per cell
crystal system = orthorhombic
DOS(E_F) = 0.0000 states/eV/atom
total magnetic moment = 0.002 μB/atom
ρ = 1.74 g/cm³

# 8
DFT (PBEsol) results for a relaxed Hf2AlB crystal.

Cell: 5.644 5.644 5.644 Å, 104.54 104.54 119.86°
Fractional positions:
Hf  0.078  0.125  0.453
Hf  0.375  0.922  0.047
Hf  0.672  0.625  0.547
Hf  0.875  0.328  0.953
Al  0.250  0.750  0.500
Al  0.500  0.500  0.000
B  0.000  0.000  0.000
B  0.750  0.250  0.500

Output
raw total energy = -63.60 eV per cell
crystal system = tetragonal
DOS(E_F) = 0.7942 states/eV/atom
total magnetic moment = 0.000 μB/atom
DFT formation energy = 0.08 eV per atom
ρ = 9.72 g/cm³

# 9
DFT (PBEsol) results for a relaxed Hf2AlBSe crystal.

Cell: 4.572 4.572 4.316 Å, 90.00 90.00 90.00°
Fractional positions:
Hf  0.000  0.500  0.000
Hf  0.500  0.000  0.000
Al  0.000  0.000  0.500
B  0.500  0.500  0.000
Se  0.500  0.500  0.500

Output
raw total energy = -35.11 eV per cell
crystal system = tetragonal
DOS(E_F) = 0.7262 states/eV/atom
total magnetic moment = 0.000 μB/atom
ρ = 8.72 g/cm³

# 10
DFT (PBEsol) results for a relaxed HfAlSiB2 crystal.

Cell: 4.348 4.348 5.145 Å, 90.00 90.00 90.00°
Fractional positions:
Hf  0.000  0.000  0.000
Al  0.000  0.000  0.500
Si  0.500  0.500  0.500
B  0.000  0.500  0.000
B  0.500  0.000  0.000

Output
raw total energy = -25.86 eV per cell
crystal system = tetragonal
DOS(E_F) = 0.4665 states/eV/atom
total magnetic moment = 0.000 μB/atom
ρ = 4.36 g/cm³

# 11
DFT (PBEsol) results for a relaxed AlHgB2 crystal.

Cell: 5.571 5.571 5.571 Å, 119.32 119.32 91.18°
Fractional positions:
Al  0.000  0.000  0.000
Al  0.750  0.250  0.500
Hg  0.250  0.750  0.500
Hg  0.500  0.500  0.000
B  0.113  0.625  0.988
B  0.375  0.363  0.488
B  0.637  0.125  0.012
B  0.875  0.887  0.512

Output
raw total energy = -28.10 eV per cell
crystal system = tetragonal
DOS(E_F) = 0.4331 states/eV/atom
total magnetic moment = 0.000 μB/atom
DFT formation energy = 1.16 eV per atom
ρ = 6.70 g/cm³

# 12
DFT (PBEsol) results for a relaxed Al2BI crystal.

Cell: 6.633 6.633 6.633 Å, 128.29 128.29 76.16°
Fractional positions:
Al  0.375  0.013  0.138
Al  0.763  0.625  0.638
Al  0.875  0.237  0.862
Al  0.987  0.125  0.362
B  0.000  0.000  0.000
B  0.750  0.250  0.500
I  0.250  0.750  0.500
I  0.500  0.500  0.000

Output
raw total energy = -33.25 eV per cell
crystal system = tetragonal
total magnetic moment = 0.000 μB/atom
ρ = 3.64 g/cm³

# 13
DFT (PBEsol) results for a relaxed AlBPt2I crystal.

Cell: 4.041 4.041 5.920 Å, 90.00 90.00 90.00°
Fractional positions:
Al  0.000  0.000  0.000
B  0.500  0.500  0.500
Pt  0.000  0.500  0.500
Pt  0.500  0.000  0.500
I  0.500  0.500  0.000

Output
raw total energy = -25.04 eV per cell
crystal system = tetragonal
DOS(E_F) = 0.4890 states/eV/atom
total magnetic moment = 0.000 μB/atom
ρ = 9.53 g/cm³

# 14
DFT (PBEsol) results for a relaxed AlBSb2I crystal.

Cell: 4.790 4.790 5.003 Å, 90.00 90.00 90.00°
Fractional positions:
Al  0.000  0.000  0.000
B  0.500  0.500  0.500
Sb  0.000  0.500  0.500
Sb  0.500  0.000  0.500
I  0.500  0.500  0.000

Output
raw total energy = -18.07 eV per cell
crystal system = tetragonal
DOS(E_F) = 0.7470 states/eV/atom
total magnetic moment = 0.000 μB/atom
ρ = 5.90 g/cm³

# 15
DFT (PBEsol) results for a relaxed Al2InB crystal.

Cell: 4.520 4.520 4.520 Å, 60.00 60.00 60.00°
Fractional positions:
Al  0.250  0.250  0.250
Al  0.750  0.750  0.750
In  0.000  0.000  0.000
B  0.500  0.500  0.500

Output
raw total energy = -14.72 eV per cell
crystal system = cubic
DOS(E_F) = 0.5210 states/eV/atom
total magnetic moment = 0.000 μB/atom
DFT formation energy = 0.87 eV per atom
ρ = 4.57 g/cm³

# 16
DFT (PBEsol) results for a relaxed Al3BIr crystal.

Cell: 4.063 4.063 4.063 Å, 90.00 90.00 90.00°
Fractional positions:
Al  0.000  0.000  0.500
Al  0.000  0.500  0.000
Al  0.500  0.000  0.000
B  0.000  0.000  0.000
Ir  0.500  0.500  0.500

Output
raw total energy = -28.43 eV per cell
crystal system = cubic
DOS(E_F) = 0.3809 states/eV/atom
total magnetic moment = 0.000 μB/atom
DFT formation energy = 0.14 eV per atom
ρ = 7.03 g/cm³

# 17
DFT (PBEsol) results for a relaxed Sc2AlB2Ir5 crystal.

Cell: 9.353 9.353 3.001 Å, 90.00 90.00 90.00°
Fractional positions:
Sc  0.176  0.324  0.000
Sc  0.324  0.824  0.000
Sc  0.676  0.176  0.000
Sc  0.824  0.676  0.000
Al  0.000  0.000  0.000
Al  0.500  0.500  0.000
B  0.124  0.624  0.000
B  0.376  0.124  0.000
B  0.624  0.876  0.000
B  0.876  0.376  0.000
Ir  0.000  0.500  0.500
Ir  0.069  0.785  0.500
Ir  0.215  0.069  0.500
Ir  0.285  0.569  0.500
Ir  0.431  0.285  0.500
Ir  0.500  0.000  0.500
Ir  0.569  0.715  0.500
Ir  0.715  0.431  0.500
Ir  0.785  0.931  0.500
Ir  0.931  0.215  0.500

Output
raw total energy = -179.59 eV per cell
crystal system = tetragonal
DOS(E_F) = 0.1705 states/eV/atom
total magnetic moment = 0.000 μB/atom
DFT formation energy = -0.93 eV per atom
ρ = 13.91 g/cm³

# 18
DFT (PBEsol) results for a relaxed Al2SnBIr crystal.

Cell: 4.301 4.301 4.208 Å, 90.00 90.00 90.00°
Fractional positions:
Al  0.000  0.500  0.000
Al  0.500  0.000  0.000
Sn  0.000  0.000  0.500
B  0.500  0.500  0.000
Ir  0.500  0.500  0.500

Output
raw total energy = -28.31 eV per cell
crystal system = tetragonal
DOS(E_F) = 0.4119 states/eV/atom
total magnetic moment = 0.000 μB/atom
DFT formation energy = 0.19 eV per atom
ρ = 8.02 g/cm³